# 1
This record from Alexandria via LeMat-Bulk describes an optimized crystal structure of LaYOsW2. The functional is PBE.

Structure (CIF):
```
data_LaYOsW2
_symmetry_space_group_name_H-M 'P 4/m m m'
_symmetry_Int_Tables_number 123
_symmetry_space_group_name_Hall '-P 4 2'
_cell_length_a 4.7783
_cell_length_b 4.7783
_cell_length_c 5.3424
_cell_angle_alpha 90.00
_cell_angle_beta 90.00
_cell_angle_gamma 90.00
loop_
_atom_site_label
_atom_site_fract_x
_atom_site_fract_y
_atom_site_fract_z
La1 0.0000 0.0000 0.0000
Y1 0.0000 0.0000 0.5000
Os1 0.5000 0.5000 0.0000
W1 0.0000 0.5000 0.5000
```

Results
formation energy from the elements = 2868 meV per atom

=====

# 2
This record from Alexandria via LeMat-Bulk describes an optimized crystal structure of YOsPb2. The functional is PBE.

Structure (CIF):
```
data_YOsPb2
_symmetry_space_group_name_H-M 'P 1 2/m 1'
_symmetry_Int_Tables_number 10
_cell_length_a 3.5829
_cell_length_b 4.7536
_cell_length_c 5.6807
_cell_angle_alpha 90.00
_cell_angle_beta 97.75
_cell_angle_gamma 90.00
loop_
_symmetry_equiv_pos_as_xyz
'x,y,z'
'-x,-y,-z'
'-x,y,-z'
'x,-y,z'
loop_
_atom_site_label
_atom_site_fract_x
_atom_site_fract_y
_atom_site_fract_z
Y1 0.0000 0.0000 0.0000
Os1 0.5000 0.0000 0.5000
Pb1 0.3361 0.5000 0.7335
```

Results
formation energy from the elements = 259 meV per atom
relative energy among the computed polymorphs = 0.1193 eV/atom

=====

# 3
This record from Alexandria via LeMat-Bulk describes an optimized crystal structure of Rb2ThAu2Se4. The functional is PBE.

Structure (CIF):
```
data_Rb2ThAu2Se4
_symmetry_space_group_name_H-M 'C 1 2/m 1'
_symmetry_Int_Tables_number 12
_cell_length_a 17.4468
_cell_length_b 4.4176
_cell_length_c 8.0376
_cell_angle_alpha 90.00
_cell_angle_beta 112.76
_cell_angle_gamma 90.00
loop_
_symmetry_equiv_pos_as_xyz
'x,y,z'
'-x,-y,-z'
'-x,y,-z'
'x,-y,z'
'x+1/2,y+1/2,z'
'-x+1/2,-y+1/2,-z'
'-x+1/2,y+1/2,-z'
'x+1/2,-y+1/2,z'
loop_
_atom_site_label
_atom_site_fract_x
_atom_site_fract_y
_atom_site_fract_z
Rb1 0.1404 0.0000 0.1146
Th1 0.0000 0.0000 0.5000
Au1 0.1450 0.5000 0.5345
Se1 0.0045 0.5000 0.2516
Se2 0.1866 0.0000 0.7075
```

Results
formation energy from raw total energies = -9.5 eV per formula unit

=====

# 4
This record from Alexandria via LeMat-Bulk describes an optimized crystal structure of LaNiSn2Hg. The functional is PBE.

Structure (CIF):
```
data_LaNiSn2Hg
_symmetry_space_group_name_H-M 'P 4/m m m'
_symmetry_Int_Tables_number 123
_symmetry_space_group_name_Hall '-P 4 2'
_cell_length_a 5.0030
_cell_length_b 5.0030
_cell_length_c 5.2345
_cell_angle_alpha 90.00
_cell_angle_beta 90.00
_cell_angle_gamma 90.00
loop_
_atom_site_label
_atom_site_fract_x
_atom_site_fract_y
_atom_site_fract_z
La1 0.0000 0.0000 0.0000
Ni1 0.0000 0.0000 0.5000
Sn1 0.0000 0.5000 0.5000
Hg1 0.5000 0.5000 0.0000
```

Results
formation energy from the elements = -322 meV per atom

=====

# 5
This record from Alexandria via LeMat-Bulk describes an optimized crystal structure of Cd2RuAu. The functional is PBE.

Structure (CIF):
```
data_Cd2RuAu
_symmetry_space_group_name_H-M 'C 1 m 1'
_symmetry_Int_Tables_number 8
_cell_length_a 10.7196
_cell_length_b 2.9564
_cell_length_c 5.0527
_cell_angle_alpha 90.00
_cell_angle_beta 114.62
_cell_angle_gamma 90.00
loop_
_symmetry_equiv_pos_as_xyz
'x,y,z'
'x,-y,z'
'x+1/2,y+1/2,z'
'x+1/2,-y+1/2,z'
loop_
_atom_site_label
_atom_site_fract_x
_atom_site_fract_y
_atom_site_fract_z
Cd1 0.0000 0.0000 0.0000
Cd2 0.2316 0.0000 0.5875
Ru1 0.2450 0.5000 0.0839
Au1 0.4766 0.0000 0.4850
```

Results
formation energy from the elements = 168 meV per atom
relative energy among the computed polymorphs = 0.0581 eV/atom

=====

# 6
This record from Alexandria via LeMat-Bulk describes an optimized crystal structure of Nd2As4IrPd3. The functional is PBE.

Structure (CIF):
```
data_Nd2As4IrPd3
_symmetry_space_group_name_H-M 'P -4 m 2'
_symmetry_Int_Tables_number 115
_cell_length_a 4.3779
_cell_length_b 4.3779
_cell_length_c 10.1266
_cell_angle_alpha 90.00
_cell_angle_beta 90.00
_cell_angle_gamma 90.00
loop_
_symmetry_equiv_pos_as_xyz
'x,y,z'
'y,-x,-z'
'-x,-y,z'
'-y,x,-z'
'-x,y,z'
'-y,-x,-z'
'x,-y,z'
'y,x,-z'
loop_
_atom_site_label
_atom_site_fract_x
_atom_site_fract_y
_atom_site_fract_z
Nd1 0.0000 0.5000 0.2489
As1 0.0000 0.0000 0.5000
As2 0.0000 0.5000 0.8701
As3 0.5000 0.5000 0.5000
Ir1 0.5000 0.5000 0.0000
Pd1 0.0000 0.0000 0.0000
Pd2 0.0000 0.5000 0.6275
```

Results
formation energy from the elements = -799 meV per atom

=====

Number 1: uncorrected energy -34.186 eV for the cell shown, density 10.70 g cm⁻³. Number 2: uncorrected energy -24.074 eV for the cell shown, density 12.01 g cm⁻³. Number 3: uncorrected energy -78.770 eV for the cell shown, density 6.47 g cm⁻³. Number 4: uncorrected energy -20.625 eV for the cell shown, density 8.06 g cm⁻³. Number 5: uncorrected energy -27.425 eV for the cell shown, density 11.93 g cm⁻³. Number 6: uncorrected energy -60.565 eV for the cell shown, density 9.41 g cm⁻³.